Compound: Pr2P2HRu2
Source: Alexandria
Functional: PBE
Structure: optimized geometry

abc: 4.0684 5.7939 6.0935
angles: 71.09 70.50 69.45
Closest atoms and distances in Å follow each position.
Sites, in units of the cell vectors:
Ru 0.8009 0.3103 0.0879  1 H 1.87
Pr 0.4417 0.8053 0.3114  2 H 2.75, 1 P 2.92
H 0.0000 0.0000 0.0000  2 Ru 1.87
P 0.8077 0.6465 0.7380  3 Ru 2.30-2.38
Ru 0.1991 0.6897 0.9121  1 H 1.87
P 0.1923 0.3535 0.2620  3 Ru 2.30-2.38
Pr 0.5583 0.1947 0.6886  2 H 2.75, 1 P 2.92

* DFT total energy: -6.894 eV per atom
* DOS(E_F): 3.54 states/eV/cell
* calculated volume: 123 Å³ per cell